DFT (PBE with a Hubbard U) results for a relaxed structure of AcFePbO4.

Results
Symmetry: P2_1/m
Raw total energy in eV per atom: -6.6583
ρ in g/cm3: 6.99

The structure in POSCAR format:
```
AcFePbO4
1.0
5.8571 0.0000 0.0000
0.0000 6.6825 0.0000
-2.8169 0.0000 6.7212
Ac Fe Pb O
2 2 2 8
Direct
0.1671 0.2500 0.4722 Ac
0.8329 0.7500 0.5278 Ac
0.2321 0.7500 0.3016 Fe
0.7679 0.2500 0.6984 Fe
0.3115 0.2500 0.0012 Pb
0.6885 0.7500 0.9988 Pb
0.0139 0.0434 0.7358 O
0.0139 0.4566 0.7358 O
0.4386 0.7500 0.5692 O
0.4659 0.7500 0.1821 O
0.5341 0.2500 0.8179 O
0.5614 0.2500 0.4308 O
0.9861 0.5434 0.2642 O
0.9861 0.9566 0.2642 O
```